--- 1 ---
The following is a DFT calculation (PBE) of crystalline ScAu2I6 at its relaxed geometry.

Cell: 14.3919 14.0334 8.3916 Å, 90.00 105.87 90.00°
Space group C2/c (No. 15)
Asymmetric unit:
1 Sc 0.0000 0.0789 0.2500 x4
2 Au 0.2268 0.4781 0.2336 x8
3 I 0.0966 0.0928 0.6257 x8
4 I 0.1072 0.4858 0.4428 x8
5 I 0.1393 0.1964 0.2005 x8


--- 2 ---
The following is a DFT calculation (PBE) of crystalline ScAu2I6 at its relaxed geometry.

Cell: 15.5004 17.1067 7.3619 Å, 90.00 117.12 90.00°
Space group C2/c (No. 15)
Asymmetric unit:
1 Sc 0.0000 0.0589 0.2500 x4
2 Au 0.1100 0.4999 0.3598 x8
3 I 0.1035 0.1947 0.2314 x8
4 I 0.1217 0.3922 0.6216 x8
5 I 0.1239 0.0517 0.6893 x8


Relative energies with respect to the most stable structure, expressed in meV/atom: 1 36; 2 0.


--- 1 ---
The following is a DFT calculation (PBE) of crystalline ScAu2I at its relaxed geometry.

Cell: 8.2314 8.2314 5.6961 Å, 90.00 90.00 90.00°
Space group I-42d (No. 122)
Asymmetric unit:
1 Sc 0.0000 0.0000 0.0000 x4
2 Au 0.2251 0.2500 0.1250 x8
3 I 0.0000 0.0000 0.5000 x4


--- 2 ---
The following is a DFT calculation (PBE) of crystalline ScAu2I at its relaxed geometry.

Cell: 7.1371 7.1371 7.1371 Å, 90.00 90.00 90.00°
Space group Fm-3m (No. 225)
Asymmetric unit:
1 Sc 0.0000 0.0000 0.0000 x4
2 Au 0.2500 0.2500 0.2500 x8
3 I 0.0000 0.0000 0.5000 x4


Relative energies with respect to the most stable structure, expressed in meV/atom: 1 0; 2 239.


--- 1 ---
The following is a DFT calculation (PBE) of crystalline ScAuI3 at its relaxed geometry.

Cell: 5.6570 5.6570 5.6570 Å, 90.00 90.00 90.00°
Space group Pm-3m (No. 221)
Asymmetric unit:
1 Sc 0.0000 0.0000 0.0000 x1
2 Au 0.5000 0.5000 0.5000 x1
3 I 0.0000 0.5000 0.5000 x3


--- 2 ---
The following is a DFT calculation (PBE) of crystalline ScAuI3 at its relaxed geometry.

Cell: 5.7028 5.7028 5.7028 Å, 90.00 90.00 90.00°
Space group Pm-3m (No. 221)
Asymmetric unit:
1 Sc 0.0000 0.0000 0.0000 x1
2 Au 0.5000 0.5000 0.5000 x1
3 I 0.0000 0.0000 0.5000 x3


Relative energies with respect to the most stable structure, expressed in meV/atom: 1 486; 2 0.


--- 1 ---
The following is a DFT calculation (PBE) of crystalline ScAu3I at its relaxed geometry.

Cell: 5.2815 5.2815 5.2815 Å, 90.00 90.00 90.00°
Space group Pm-3m (No. 221)
Asymmetric unit:
1 Sc 0.0000 0.0000 0.0000 x1
2 Au 0.0000 0.5000 0.5000 x3
3 I 0.5000 0.5000 0.5000 x1


--- 2 ---
The following is a DFT calculation (PBE) of crystalline ScAu3I at its relaxed geometry.

Cell: 5.2574 5.2574 5.2574 Å, 90.00 90.00 90.00°
Space group Pm-3m (No. 221)
Asymmetric unit:
1 Sc 0.0000 0.0000 0.0000 x1
2 Au 0.0000 0.0000 0.5000 x3
3 I 0.5000 0.5000 0.5000 x1


Relative energies with respect to the most stable structure, expressed in meV/atom: 1 436; 2 0.


--- 1 ---
The following is a DFT calculation (PBE) of crystalline Au2SeI at its relaxed geometry.

Cell: 6.2883 6.2883 12.2626 Å, 90.00 90.00 90.00°
Space group I-42d (No. 122)
Asymmetric unit:
1 Au 0.1991 0.2500 0.1250 x8
2 Se 0.0000 0.0000 0.0000 x4
3 I 0.0000 0.0000 0.5000 x4


--- 2 ---
The following is a DFT calculation (PBE) of crystalline Au2SeI at its relaxed geometry.

Cell: 7.1642 7.1642 7.1642 Å, 90.00 90.00 90.00°
Space group Fm-3m (No. 225)
Asymmetric unit:
1 Au 0.2500 0.2500 0.2500 x8
2 Se 0.0000 0.0000 0.0000 x4
3 I 0.0000 0.0000 0.5000 x4


Relative energies with respect to the most stable structure, expressed in meV/atom: 1 0; 2 594.


--- 1 ---
The following is a DFT calculation (PBE) of crystalline Te2AuSeI at its relaxed geometry.

Cell: 5.5639 5.5639 5.4235 Å, 90.00 90.00 90.00°
Space group P4/mmm (No. 123)
Asymmetric unit:
1 Te 0.0000 0.5000 0.0000 x2
2 Au 0.0000 0.0000 0.5000 x1
3 Se 0.5000 0.5000 0.0000 x1
4 I 0.5000 0.5000 0.5000 x1


--- 2 ---
The following is a DFT calculation (PBE) of crystalline Te2AuSeI at its relaxed geometry.

Cell: 5.5076 5.5076 5.3977 Å, 90.00 90.00 90.00°
Space group P4/mmm (No. 123)
Asymmetric unit:
1 Te 0.0000 0.5000 0.0000 x2
2 Au 0.0000 0.0000 0.0000 x1
3 Se 0.5000 0.5000 0.5000 x1
4 I 0.0000 0.0000 0.5000 x1


Relative energies with respect to the most stable structure, expressed in meV/atom: 1 73; 2 0.


--- 1 ---
The following is a DFT calculation (PBE) of crystalline TeAuSeI2 at its relaxed geometry.

Cell: 5.5001 5.5001 5.6779 Å, 90.00 90.00 90.00°
Space group P4/mmm (No. 123)
Asymmetric unit:
1 Te 0.0000 0.0000 0.0000 x1
2 Au 0.0000 0.0000 0.5000 x1
3 Se 0.5000 0.5000 0.0000 x1
4 I 0.0000 0.5000 0.5000 x2


--- 2 ---
The following is a DFT calculation (PBE) of crystalline TeAuSeI2 at its relaxed geometry.

Cell: 5.5455 5.5455 5.7265 Å, 90.00 90.00 90.00°
Space group P4/mmm (No. 123)
Asymmetric unit:
1 Te 0.0000 0.0000 0.0000 x1
2 Au 0.5000 0.5000 0.0000 x1
3 Se 0.0000 0.0000 0.5000 x1
4 I 0.0000 0.5000 0.5000 x2


Relative energies with respect to the most stable structure, expressed in meV/atom: 1 0; 2 68.


--- 1 ---
The following is a DFT calculation (PBE) of crystalline SiAuI at its relaxed geometry.

Cell: 4.7921 5.1698 9.1886 Å, 80.93 75.91 62.75°
Space group P-1 (No. 2)
Asymmetric unit:
1 Si 0.1578 0.1029 0.0899 x2
2 Au 0.4211 0.7574 0.8890 x2
3 I 0.2525 0.6988 0.3188 x2


--- 2 ---
The following is a DFT calculation (PBE) of crystalline SiAuI at its relaxed geometry.

Cell: 4.0088 4.0090 6.3855 Å, 73.47 73.58 65.08°
Space group P1 (No. 1)
Asymmetric unit:
1 Si 0.0000 0.0000 0.0000 x1
2 Au 0.6190 0.6186 0.0938 x1
3 I 0.1289 0.1309 0.5850 x1


Relative energies with respect to the most stable structure, expressed in meV/atom: 1 0; 2 43.


--- 1 ---
The following is a DFT calculation (PBE) of crystalline SiAuI3 at its relaxed geometry.

Cell: 5.6296 5.6296 5.6296 Å, 90.00 90.00 90.00°
Space group Pm-3m (No. 221)
Asymmetric unit:
1 Si 0.0000 0.0000 0.0000 x1
2 Au 0.5000 0.5000 0.5000 x1
3 I 0.0000 0.5000 0.5000 x3


--- 2 ---
The following is a DFT calculation (PBE) of crystalline SiAuI3 at its relaxed geometry.

Cell: 5.5303 5.5303 5.5303 Å, 90.00 90.00 90.00°
Space group Pm-3m (No. 221)
Asymmetric unit:
1 Si 0.0000 0.0000 0.0000 x1
2 Au 0.5000 0.5000 0.5000 x1
3 I 0.0000 0.0000 0.5000 x3


Relative energies with respect to the most stable structure, expressed in meV/atom: 1 172; 2 0.


--- 1 ---
The following is a DFT calculation (PBE) of crystalline SiTeAuI2 at its relaxed geometry.

Cell: 5.4775 5.4775 5.6710 Å, 90.00 90.00 90.00°
Space group P4/mmm (No. 123)
Asymmetric unit:
1 Si 0.0000 0.0000 0.0000 x1
2 Te 0.5000 0.5000 0.0000 x1
3 Au 0.5000 0.5000 0.5000 x1
4 I 0.0000 0.5000 0.5000 x2


--- 2 ---
The following is a DFT calculation (PBE) of crystalline SiTeAuI2 at its relaxed geometry.

Cell: 5.4208 5.4208 5.4385 Å, 90.00 90.00 90.00°
Space group P4/mmm (No. 123)
Asymmetric unit:
1 Si 0.0000 0.0000 0.0000 x1
2 Te 0.0000 0.0000 0.5000 x1
3 Au 0.5000 0.5000 0.5000 x1
4 I 0.0000 0.5000 0.0000 x2


Relative energies with respect to the most stable structure, expressed in meV/atom: 1 121; 2 0.


--- 1 ---
The following is a DFT calculation (PBE) of crystalline Sn2AuI at its relaxed geometry.

Cell: 7.5668 7.5668 7.5668 Å, 90.00 90.00 90.00°
Space group Fm-3m (No. 225)
Asymmetric unit:
1 Sn 0.2500 0.2500 0.2500 x8
2 Au 0.0000 0.0000 0.0000 x4
3 I 0.0000 0.0000 0.5000 x4


--- 2 ---
The following is a DFT calculation (PBE) of crystalline Sn2AuI at its relaxed geometry.

Cell: 6.7577 6.7577 13.5167 Å, 90.00 90.00 90.00°
Space group I-42d (No. 122)
Asymmetric unit:
1 Sn 0.1720 0.2500 0.1250 x8
2 Au 0.0000 0.0000 0.0000 x4
3 I 0.0000 0.0000 0.5000 x4


--- 3 ---
The following is a DFT calculation (PBE) of crystalline Sn2AuI at its relaxed geometry.

Cell: 4.5867 4.5867 23.9016 Å, 90.00 90.00 120.00°
Space group R-3m (No. 166, hexagonal axes)
Asymmetric unit:
1 Sn 0.0000 0.0000 0.1246 x6
2 Au 0.0000 0.0000 0.5000 x3
3 I 0.0000 0.0000 0.0000 x3


--- 4 ---
The following is a DFT calculation (PBE) of crystalline Sn2AuI at its relaxed geometry.

Cell: 4.0749 4.0749 24.7820 Å, 90.00 90.00 120.00°
Space group R3m (No. 160, hexagonal axes)
Asymmetric unit:
1 Sn 0.0000 0.0000 0.0000 x3
2 Sn 0.0000 0.0000 0.2019 x3
3 Au 0.0000 0.0000 0.6010 x3
4 I 0.0000 0.0000 0.4287 x3


Relative energies with respect to the most stable structure, expressed in meV/atom: 1 372; 2 208; 3 0; 4 42.


--- 1 ---
The following is a DFT calculation (PBE) of crystalline SrAuI3 at its relaxed geometry.

Cell: 5.7723 5.7723 5.7723 Å, 90.00 90.00 90.00°
Space group Pm-3m (No. 221)
Asymmetric unit:
1 Sr 0.0000 0.0000 0.0000 x1
2 Au 0.5000 0.5000 0.5000 x1
3 I 0.0000 0.5000 0.5000 x3


--- 2 ---
The following is a DFT calculation (PBE) of crystalline SrAuI3 at its relaxed geometry.

Cell: 6.3620 6.3620 6.3620 Å, 90.00 90.00 90.00°
Space group Pm-3m (No. 221)
Asymmetric unit:
1 Sr 0.0000 0.0000 0.0000 x1
2 Au 0.5000 0.5000 0.5000 x1
3 I 0.0000 0.0000 0.5000 x3


Relative energies with respect to the most stable structure, expressed in meV/atom: 1 0; 2 304.